[1]
A plane-wave DFT calculation with GGA-PBEsol was carried out for a geometry-optimized YMgTa2 structure.

Lattice parameters (Å, degrees): 2.971 2.971 10.012 90.00 90.00 109.02
Element x y z (fractional)
1 Mg 0.500 0.500 0.228
2 Ta 0.000 0.000 0.984
3 Ta 0.500 0.500 0.773
4 Y 0.000 0.000 0.515

Properties
E	-8.160	eV/atom
Fermi-level density of states	4.34	states/eV/f.u.
E_form	0.2503	eV per atom
size of the total moment	0.0	Bohr magnetons per cell

---

[2]
A plane-wave DFT calculation with GGA-PBEsol was carried out for a geometry-optimized YMg2Ta structure.

Lattice parameters (Å, degrees): 3.074 4.347 6.468 90.00 90.00 90.00
Element x y z (fractional)
1 Mg 0.000 0.000 0.777
2 Mg 0.000 0.000 0.223
3 Ta 0.500 0.500 0.000
4 Y 0.500 0.500 0.500

Properties
E	-5.381	eV/atom
Fermi-level density of states	3.99	states/eV/f.u.
E_form	0.3210	eV per atom
size of the total moment	0.0	Bohr magnetons per cell

---

[3]
A plane-wave DFT calculation with GGA-PBEsol was carried out for a geometry-optimized YMgTa2 structure.

Lattice parameters (Å, degrees): 4.840 4.840 4.840 60.00 60.00 60.00
Element x y z (fractional)
1 Mg 0.500 0.500 0.500
2 Ta 0.000 0.000 0.000
3 Ta 0.750 0.750 0.750
4 Y 0.250 0.250 0.250

Properties
E	-8.032	eV/atom
Fermi-level density of states	4.26	states/eV/f.u.
E_form	0.3782	eV per atom
size of the total moment	0.0	Bohr magnetons per cell

---

[4]
A plane-wave DFT calculation with GGA-PBEsol was carried out for a geometry-optimized YMg3Ta structure.

Lattice parameters (Å, degrees): 5.186 5.186 5.186 90.00 90.00 90.00
Element x y z (fractional)
1 Y 0.500 0.500 0.500
2 Mg 0.000 0.500 0.000
3 Mg 0.000 0.000 0.500
4 Mg 0.500 0.000 0.000
5 Ta 0.000 0.000 0.000

Properties
E	-3.859	eV/atom
Fermi-level density of states	4.84	states/eV/f.u.
E_form	1.0462	eV per atom
size of the total moment	2.0	Bohr magnetons per cell

---

Among the records above, which one has the highest E_form?
YMg3Ta